A relaxed TlAg4Au crystal, computed with PBE-GGA.

CIF file:
```
data_TlAg4Au
_chemical_formula_sum 'Tl4 Ag16 Au4'
_cell_length_a 7.906
_cell_length_b 7.906
_cell_length_c 7.906
_cell_angle_alpha 90.00
_cell_angle_beta 90.00
_cell_angle_gamma 90.00
_symmetry_space_group_name_H-M 'F -4 3 m'
_symmetry_Int_Tables_number 216
_symmetry_space_group_name_Hall 'F -4 2 3'
loop_
_atom_site_label
_atom_site_fract_x
_atom_site_fract_y
_atom_site_fract_z
Tl1 0.000 0.000 0.000
Ag1 0.125 0.125 0.625
Au1 0.250 0.250 0.250
```

Values from the calculation:
The value obtained for the formation energy is 131 meV/atom. As for the density of states at the Fermi level: 0.372 states/eV/atom.

A relaxed La2CrN3 crystal, computed with PBE-GGA.

CIF file:
```
data_La2CrN3
_chemical_formula_sum 'La16 Cr8 N24'
_cell_length_a 5.533
_cell_length_b 11.019
_cell_length_c 12.225
_cell_angle_alpha 90.00
_cell_angle_beta 90.00
_cell_angle_gamma 90.00
_symmetry_space_group_name_H-M 'C m c e'
_symmetry_Int_Tables_number 64
_symmetry_space_group_name_Hall '-C 2ac 2'
loop_
_atom_site_label
_atom_site_fract_x
_atom_site_fract_y
_atom_site_fract_z
La1 0.000 0.061 0.140
La2 0.000 0.142 0.575
Cr1 0.000 0.240 0.339
N1 0.000 0.076 0.370
N2 0.000 0.153 0.960
N3 0.250 0.235 0.750
```

Values from the calculation:
As for the uncorrected formation energy: -1.133 eV per atom. As for the density of states at the Fermi level: 0.668 states/eV/atom.

A relaxed Mn5Re4 crystal, computed with PBE-GGA.

CIF file:
```
data_Mn5Re4
_chemical_formula_sum 'Mn10 Re8'
_cell_length_a 7.873
_cell_length_b 7.873
_cell_length_c 3.702
_cell_angle_alpha 90.00
_cell_angle_beta 90.00
_cell_angle_gamma 90.00
_symmetry_space_group_name_H-M 'I 4/m m m'
_symmetry_Int_Tables_number 139
_symmetry_space_group_name_Hall '-I 4 2'
loop_
_atom_site_label
_atom_site_fract_x
_atom_site_fract_y
_atom_site_fract_z
Mn1 0.000 0.000 0.000
Mn2 0.161 0.161 0.500
Re1 0.000 0.317 0.000
```

Values from the calculation:
The value obtained for the formation energy is 85 meV/atom. For the polymorph energy (0 for the lowest one), the calculation gives 0.000 eV per atom. As for the density of states at the Fermi level: 1.293 states/eV/atom.

A relaxed CsIr3Cl crystal, computed with PBE-GGA.

CIF file:
```
data_CsIr3Cl
_chemical_formula_sum 'Cs1 Ir3 Cl1'
_cell_length_a 5.207
_cell_length_b 5.207
_cell_length_c 5.207
_cell_angle_alpha 90.00
_cell_angle_beta 90.00
_cell_angle_gamma 90.00
_symmetry_space_group_name_H-M 'P m -3 m'
_symmetry_Int_Tables_number 221
_symmetry_space_group_name_Hall '-P 4 2 3'
loop_
_atom_site_label
_atom_site_fract_x
_atom_site_fract_y
_atom_site_fract_z
Cs1 0.000 0.000 0.000
Ir1 0.000 0.000 0.500
Cl1 0.500 0.500 0.500
```

Values from the calculation:
As for the uncorrected formation energy: 3.203 eV per atom. As for the density of states at the Fermi level: 0.909 states/eV/atom.